Computed, not measured: a geometry-optimized ZrInIr2 structure at the PBE level of DFT.

The structure in POSCAR format:
```
ZrInIr2
1.0
5.263 -0.372 0.200
4.048 3.384 0.200
1.374 0.444 3.677
In Ir Zr
1 2 1
direct
0.250 0.250 0.250
0.000 0.000 0.000
0.750 0.750 0.750
0.500 0.500 0.500
```

Results
- ΔH_f (0 K): -0.47 eV/atom
- Fermi-level density of states: 1.07 states/eV/cell
- E: -7.72 eV/atom



Computed, not measured: a geometry-optimized TaRu2Au structure at the PBE level of DFT.

The structure in POSCAR format:
```
TaRu2Au
1.0
-1.639 -2.642 -3.259
1.143 -4.354 -0.158
-3.048 -3.166 0.987
Au Ru Ta
1 2 1
direct
0.500 0.500 0.500
0.000 0.000 0.000
0.750 0.750 0.750
0.250 0.250 0.250
```

Results
- ΔH_f (0 K): 0.29 eV/atom
- Fermi-level density of states: 5.55 states/eV/cell
- E: -8.13 eV/atom



Computed, not measured: a geometry-optimized TiCd2SbRh structure at the PBE level of DFT.

The structure in POSCAR format:
```
TiCd2SbRh
1.0
5.234 0.000 0.000
0.000 5.234 0.000
0.000 0.000 5.084
Sb Ti Rh Cd
1 1 1 2
direct
0.000 0.000 0.000
0.000 0.000 0.500
0.500 0.500 0.500
0.000 0.500 0.000
0.500 0.000 0.000
```

Results
- Fermi-level density of states: 6.80 states/eV/cell
- E: -3.09 eV/atom
- Formation energy (no corrections): 1.145 eV/atom



Computed, not measured: a geometry-optimized La4SmHo3 structure at the PBE level of DFT.

The structure in POSCAR format:
```
La4SmHo3
1.0
-4.379 0.564 -4.630
-1.767 -7.098 0.806
-8.075 2.918 7.993
La Sm Ho
8 2 6
direct
0.141 0.872 0.000
0.660 0.131 0.000
0.978 0.125 0.257
0.478 0.875 0.243
0.160 0.869 0.500
0.641 0.128 0.500
0.478 0.875 0.757
0.978 0.125 0.743
0.151 0.375 0.000
0.651 0.625 0.500
0.648 0.618 0.000
0.979 0.620 0.249
0.479 0.380 0.251
0.148 0.382 0.500
0.479 0.380 0.749
0.979 0.620 0.751
```

Results
- ΔH_f (0 K): 0.03 eV/atom
- Fermi-level density of states: 27.37 states/eV/cell
- E: -4.74 eV/atom



Computed, not measured: a geometry-optimized Zr2Sc structure at the PBE level of DFT.

The structure in POSCAR format:
```
Zr2Sc
1.0
5.852 0.000 0.000
2.926 5.068 0.000
0.000 0.000 9.737
Sc Zr
4 8
direct
0.667 0.667 0.057
0.667 0.667 0.443
0.333 0.333 0.557
0.333 0.333 0.943
0.000 0.000 0.000
0.000 0.000 0.500
0.828 0.343 0.750
0.343 0.828 0.750
0.172 0.172 0.250
0.828 0.828 0.750
0.657 0.172 0.250
0.172 0.657 0.250
```

Results
- ΔH_f (0 K): 0.23 eV/atom
- Fermi-level density of states: 25.14 states/eV/cell
- E: -7.58 eV/atom



Computed, not measured: a geometry-optimized TlSeBr structure at the PBE level of DFT.

The structure in POSCAR format:
```
TlSeBr
1.0
4.137 0.000 0.000
-2.069 3.583 0.000
0.000 0.000 6.673
Br Se Tl
1 1 1
direct
0.000 0.000 0.923
0.333 0.667 0.436
0.667 0.333 0.641
```

Results
- E: -2.78 eV/atom
- Formation energy (no corrections): -0.272 eV/atom



Computed, not measured: a geometry-optimized Nd5Er2Mg structure at the PBE level of DFT.

The structure in POSCAR format:
```
Nd5Er2Mg
1.0
1.785 -6.648 -1.883
6.663 2.274 -1.167
-3.018 1.141 6.365
Nd Er Mg
5 2 1
direct
0.278 0.278 0.500
0.279 0.779 0.000
0.777 0.277 0.000
0.778 0.778 0.500
0.278 0.278 0.000
0.277 0.777 0.498
0.779 0.279 0.502
0.778 0.778 0.000
```

Results
- ΔH_f (0 K): 0.01 eV/atom
- Fermi-level density of states: 7.78 states/eV/cell
- E: -4.31 eV/atom



Computed, not measured: a geometry-optimized CuMo2C structure at the PBE level of DFT.

The structure in POSCAR format:
```
CuMo2C
1.0
4.805 0.000 0.000
0.000 4.805 0.000
2.402 2.402 5.578
Mo C Cu
4 2 2
direct
0.534 0.125 0.250
0.216 0.625 0.250
0.375 0.466 0.750
0.875 0.784 0.750
0.500 0.500 0.000
0.250 0.750 0.500
0.000 0.000 0.000
0.750 0.250 0.500
```

Results
- ΔH_f (0 K): 1.03 eV/atom
- Fermi-level density of states: 6.78 states/eV/cell
- E: -7.72 eV/atom



Computed, not measured: a geometry-optimized Fe2SiCl structure at the PBE level of DFT.

The structure in POSCAR format:
```
Fe2SiCl
1.0
-3.621 0.155 -3.443
-2.372 -4.367 0.540
1.115 4.508 1.850
Cl Fe Si
1 2 1
direct
0.250 0.750 0.500
0.999 0.999 0.000
0.501 0.501 0.000
0.750 0.250 0.500
```

Results
- Fermi-level density of states: 3.80 states/eV/cell
- E: -5.67 eV/atom
- Formation energy (no corrections): 0.378 eV/atom



Computed, not measured: a geometry-optimized Sc2TlPd structure at the PBE level of DFT.

The structure in POSCAR format:
```
Sc2TlPd
1.0
7.609 0.000 0.000
0.000 7.609 0.000
3.805 3.805 3.169
Sc Tl Pd
4 2 2
direct
0.585 0.125 0.250
0.165 0.625 0.250
0.375 0.415 0.750
0.875 0.835 0.750
0.000 0.000 0.000
0.750 0.250 0.500
0.500 0.500 0.000
0.250 0.750 0.500
```

Results
- ΔH_f (0 K): -0.22 eV/atom
- Fermi-level density of states: 10.27 states/eV/cell
- E: -5.28 eV/atom



Computed, not measured: a geometry-optimized B3TeF structure at the PBE level of DFT.

The structure in POSCAR format:
```
B3TeF
1.0
4.511 0.000 0.000
0.000 4.511 0.000
0.000 0.000 4.511
B Te F
3 1 1
direct
0.000 0.500 0.000
0.000 0.000 0.500
0.500 0.000 0.000
0.000 0.000 0.000
0.500 0.500 0.500
```

Results
- Fermi-level density of states: 3.09 states/eV/cell
- E: -2.93 eV/atom
- Formation energy (no corrections): 2.076 eV/atom



Computed, not measured: a geometry-optimized Ni8Mo2Rh structure at the PBE level of DFT.

The structure in POSCAR format:
```
Ni8Mo2Rh
1.0
0.448 -1.175 -3.350
-2.558 -5.017 1.418
-5.129 4.544 -0.369
Ni Mo Rh
8 2 1
direct
0.588 0.449 0.177
0.320 0.090 0.640
0.138 0.182 0.276
0.044 0.724 0.089
0.862 0.818 0.724
0.680 0.910 0.360
0.412 0.551 0.823
0.956 0.276 0.911
0.223 0.644 0.446
0.777 0.356 0.554
0.500 0.000 0.000
```

Results
- ΔH_f (0 K): 0.00 eV/atom
- Fermi-level density of states: 18.47 states/eV/cell
- E: -6.85 eV/atom